Record 1
Entry from the Alexandria database: a relaxed structure of Sc4SnPd3 (GGA-PBE).

Cell: 4.7734 4.7734 23.4043 Å, 90.00 90.00 120.00°
Space group R-3m (No. 166, hexagonal axes)
Unique sites:
Sc1 0.0000 0.0000 0.1180 (multiplicity 6)
Sc2 0.0000 0.0000 0.3698 (multiplicity 6)
Sn1 0.0000 0.0000 0.5000 (multiplicity 3)
Pd1 0.0000 0.0000 0.0000 (multiplicity 3)
Pd2 0.0000 0.0000 0.2438 (multiplicity 6)

Summary:
**Density of states at the Fermi level**: 16.7 states/eV/cell
**Total energy**: -154.4 eV/cell
**E_form**: -6.57 eV/f.u.

Record 2
Entry from the Alexandria database: a relaxed structure of Sc3SnPd4 (GGA-PBE).

Cell: 9.389 6.568 4.694 Å, 90.00 90.00 90.00°
Space group Pmma (No. 51)
Unique sites:
Sc1 0.000 0.000 0.000 (multiplicity 2)
Sc2 0.250 0.000 0.499 (multiplicity 2)
Sc3 0.250 0.500 0.499 (multiplicity 2)
Sn1 0.000 0.500 0.000 (multiplicity 2)
Pd1 0.000 0.240 0.500 (multiplicity 4)
Pd2 0.250 0.240 0.999 (multiplicity 4)

Summary:
**Density of states at the Fermi level**: 8.4 states/eV/cell
**Total energy**: -101.3 eV/cell
**E_form**: -6.89 eV/f.u.

Record 3
Entry from the Alexandria database: a relaxed structure of ScSn2Pd (GGA-PBE).

Cell: 3.2942 3.2942 30.1587 Å, 90.00 90.00 120.00°
Space group R-3m (No. 166, hexagonal axes)
Unique sites:
Sc1 0.0000 0.0000 0.0000 (multiplicity 3)
Sn1 0.0000 0.0000 0.0980 (multiplicity 6)
Pd1 0.0000 0.0000 0.5000 (multiplicity 3)

Summary:
**Density of states at the Fermi level**: 6.9 states/eV/cell
**Total energy**: -60.4 eV/cell
**E_form**: -0.61 eV/f.u.